<A>
Material: ErLuSi
Method: DFT, PBE
State: optimized geometry

Total moment in Bohr magnetons per cell: 0.00
Space-group type: No. 216

Unit cell a=4.7576 b=4.7576 c=4.7576 alpha=60.00 beta=60.00 gamma=60.00
Element x y z (fractional)
Er 0.0000 0.0000 0.0000
Lu 0.5000 0.5000 0.5000
Si 0.2500 0.2500 0.2500

***

<B>
Material: ErLuSi
Method: DFT, PBE
State: optimized geometry

Total moment in Bohr magnetons per cell: 0.00
Space-group type: No. 107

Unit cell a=6.8164 b=6.8164 c=6.8164 alpha=151.44 beta=151.44 gamma=40.83
Element x y z (fractional)
Er 0.0000 0.0000 0.0000
Lu 0.7208 0.7208 0.0000
Si 0.3588 0.3588 0.0000

***

What is the stability order? It is <A>, <B>, from most stable to least stable.

***

<A>
Material: SmErLu
Method: DFT, PBE
State: optimized geometry

Total moment in Bohr magnetons per cell: 0.00
Space-group type: No. 156

Unit cell a=5.6016 b=5.6016 c=3.4268 alpha=90.00 beta=90.00 gamma=120.00
Element x y z (fractional)
Sm 0.0000 0.0000 0.0000
Er 0.6667 0.3333 0.5008
Lu 0.3333 0.6667 0.4992

***

<B>
Material: SmErLu
Method: DFT, PBE
State: optimized geometry

Total moment in Bohr magnetons per cell: 0.00
Space-group type: No. 107

Unit cell a=7.9186 b=7.9186 c=7.9186 alpha=154.26 beta=154.26 gamma=36.72
Element x y z (fractional)
Sm 0.0000 0.0000 0.0000
Er 0.3308 0.3308 0.0000
Lu 0.6676 0.6676 0.0000

***

What is the stability order? It is <B>, <A>, from most stable to least stable.

***

<A>
Material: TbErLu2
Method: DFT, PBE
State: optimized geometry

Total moment in Bohr magnetons per cell: 0.00
Space-group type: No. 123

Unit cell a=4.9418 b=4.9418 c=4.9173 alpha=90.00 beta=90.00 gamma=90.00
Element x y z (fractional)
Tb 0.0000 0.0000 0.0000
Er 0.5000 0.5000 0.0000
Lu 0.0000 0.5000 0.5000
Lu 0.5000 0.0000 0.5000

***

<B>
Material: TbErLu2
Method: DFT, PBE
State: optimized geometry

Total moment in Bohr magnetons per cell: 0.00
Space-group type: No. 225

Unit cell a=5.5676 b=5.5676 c=5.5676 alpha=60.00 beta=60.00 gamma=60.00
Element x y z (fractional)
Tb 0.0000 0.0000 0.0000
Er 0.5000 0.5000 0.5000
Lu 0.2500 0.2500 0.2500
Lu 0.7500 0.7500 0.7500

***

What is the stability order? It is <A>, <B>, from most stable to least stable.

***

<A>
Material: Tb2ErLu
Method: DFT, PBE
State: optimized geometry

Total moment in Bohr magnetons per cell: 0.00
Space-group type: No. 166

Unit cell a=11.6017 b=11.6017 c=11.6017 alpha=17.44 beta=17.44 gamma=17.44
Element x y z (fractional)
Tb 0.2505 0.2505 0.2505
Tb 0.7495 0.7495 0.7495
Er 0.5000 0.5000 0.5000
Lu 0.0000 0.0000 0.0000

***

<B>
Material: Tb2ErLu
Method: DFT, PBE
State: optimized geometry

Total moment in Bohr magnetons per cell: 0.00
Space-group type: No. 225

Unit cell a=5.6074 b=5.6074 c=5.6074 alpha=60.00 beta=60.00 gamma=60.00
Element x y z (fractional)
Tb 0.2500 0.2500 0.2500
Tb 0.7500 0.7500 0.7500
Er 0.0000 0.0000 0.0000
Lu 0.5000 0.5000 0.5000

***

What is the stability order? It is <A>, <B>, from most stable to least stable.

***

<A>
Material: Er2LuTe
Method: DFT, PBE
State: optimized geometry

Total moment in Bohr magnetons per cell: 0.01
Space-group type: No. 123

Unit cell a=3.8673 b=3.8673 c=7.4925 alpha=90.00 beta=90.00 gamma=90.00
Element x y z (fractional)
Er 0.0000 0.0000 0.2328
Er 0.0000 0.0000 0.7672
Lu 0.5000 0.5000 0.5000
Te 0.5000 0.5000 0.0000

***

<B>
Material: Er2LuTe
Method: DFT, PBE
State: optimized geometry

Total moment in Bohr magnetons per cell: 0.00
Space-group type: No. 166

Unit cell a=10.0274 b=10.0274 c=10.0274 alpha=21.83 beta=21.83 gamma=21.83
Element x y z (fractional)
Er 0.2397 0.2397 0.2397
Er 0.7603 0.7603 0.7603
Lu 0.0000 0.0000 0.0000
Te 0.5000 0.5000 0.5000

***

What is the stability order? It is <A>, <B>, from most stable to least stable.

***

<A>
Material: ErLu2Ti
Method: DFT, PBE
State: optimized geometry

Total moment in Bohr magnetons per cell: 3.70
Space-group type: No. 225

Unit cell a=5.3296 b=5.3296 c=5.3296 alpha=60.00 beta=60.00 gamma=60.00
Element x y z (fractional)
Er 0.0000 0.0000 0.0000
Lu 0.2500 0.2500 0.2500
Lu 0.7500 0.7500 0.7500
Ti 0.5000 0.5000 0.5000

***

<B>
Material: ErLu2Ti
Method: DFT, PBE
State: optimized geometry

Total moment in Bohr magnetons per cell: 1.10
Space-group type: No. 123

Unit cell a=4.7129 b=4.7129 c=4.7222 alpha=90.00 beta=90.00 gamma=90.00
Element x y z (fractional)
Er 0.0000 0.0000 0.0000
Lu 0.0000 0.5000 0.5000
Lu 0.5000 0.0000 0.5000
Ti 0.5000 0.5000 0.0000

***

<C>
Material: ErLu2Ti
Method: DFT, PBE
State: optimized geometry

Total moment in Bohr magnetons per cell: 0.00
Space-group type: No. 123

Unit cell a=3.3371 b=3.3371 c=9.4024 alpha=90.00 beta=90.00 gamma=90.00
Element x y z (fractional)
Er 0.0000 0.0000 0.0000
Lu 0.5000 0.5000 0.2802
Lu 0.5000 0.5000 0.7198
Ti 0.0000 0.0000 0.5000

***

What is the stability order? It is <C>, <B>, <A>, from most stable to least stable.

***

<A>
Material: ErLuTl
Method: DFT, PBE
State: optimized geometry

Total moment in Bohr magnetons per cell: 0.00
Space-group type: No. 156

Unit cell a=5.2103 b=5.2103 c=3.6379 alpha=90.00 beta=90.00 gamma=120.00
Element x y z (fractional)
Er 0.0000 0.0000 0.0000
Lu 0.6667 0.3333 0.5004
Tl 0.3333 0.6667 0.4985

***

<B>
Material: ErLuTl
Method: DFT, PBE
State: optimized geometry

Total moment in Bohr magnetons per cell: 0.00
Space-group type: No. 107

Unit cell a=7.2282 b=7.2282 c=7.2282 alpha=151.90 beta=151.90 gamma=40.16
Element x y z (fractional)
Er 0.0000 0.0000 0.0000
Lu 0.3206 0.3206 0.0000
Tl 0.6617 0.6617 0.0000

***

<C>
Material: ErLuTl
Method: DFT, PBE
State: optimized geometry

Total moment in Bohr magnetons per cell: 0.00
Space-group type: No. 216

Unit cell a=5.1062 b=5.1062 c=5.1062 alpha=60.00 beta=60.00 gamma=60.00
Element x y z (fractional)
Er 0.0000 0.0000 0.0000
Lu 0.5000 0.5000 0.5000
Tl 0.2500 0.2500 0.2500

***

What is the stability order? It is <B>, <A>, <C>, from most stable to least stable.

***

<A>
Material: Er2TmLu
Method: DFT, PBE
State: optimized geometry

Total moment in Bohr magnetons per cell: 0.00
Space-group type: No. 123

Unit cell a=3.4823 b=3.4823 c=9.8546 alpha=90.00 beta=90.00 gamma=90.00
Element x y z (fractional)
Er 0.0000 0.0000 0.2492
Er 0.0000 0.0000 0.7508
Tm 0.5000 0.5000 0.5000
Lu 0.5000 0.5000 0.0000

***

<B>
Material: Er2TmLu
Method: DFT, PBE
State: optimized geometry

Total moment in Bohr magnetons per cell: 0.01
Space-group type: No. 225

Unit cell a=5.5637 b=5.5637 c=5.5637 alpha=60.00 beta=60.00 gamma=60.00
Element x y z (fractional)
Er 0.2500 0.2500 0.2500
Er 0.7500 0.7500 0.7500
Tm 0.0000 0.0000 0.0000
Lu 0.5000 0.5000 0.5000

***

What is the stability order? It is <A>, <B>, from most stable to least stable.

***

<A>
Material: ErTmLu2
Method: DFT, PBE
State: optimized geometry

Total moment in Bohr magnetons per cell: 0.00
Space-group type: No. 123

Unit cell a=3.4713 b=3.4713 c=9.8180 alpha=90.00 beta=90.00 gamma=90.00
Element x y z (fractional)
Er 0.0000 0.0000 0.0000
Tm 0.0000 0.0000 0.5000
Lu 0.5000 0.5000 0.2505
Lu 0.5000 0.5000 0.7495

***

<B>
Material: ErTmLu2
Method: DFT, PBE
State: optimized geometry

Total moment in Bohr magnetons per cell: 0.00
Space-group type: No. 225

Unit cell a=5.5455 b=5.5455 c=5.5455 alpha=60.00 beta=60.00 gamma=60.00
Element x y z (fractional)
Er 0.0000 0.0000 0.0000
Tm 0.5000 0.5000 0.5000
Lu 0.2500 0.2500 0.2500
Lu 0.7500 0.7500 0.7500

***

What is the stability order? It is <A>, <B>, from most stable to least stable.

***

<A>
Material: ErLu2V
Method: DFT, PBE
State: optimized geometry

Total moment in Bohr magnetons per cell: 3.03
Space-group type: No. 123

Unit cell a=3.5318 b=3.5318 c=8.3591 alpha=90.00 beta=90.00 gamma=90.00
Element x y z (fractional)
Er 0.0000 0.0000 0.0000
Lu 0.5000 0.5000 0.2994
Lu 0.5000 0.5000 0.7006
V 0.0000 0.0000 0.5000

***

<B>
Material: ErLu2V
Method: DFT, PBE
State: optimized geometry

Total moment in Bohr magnetons per cell: 2.25
Space-group type: No. 166

Unit cell a=10.5789 b=10.5789 c=10.5789 alpha=18.41 beta=18.41 gamma=18.41
Element x y z (fractional)
Er 0.0000 0.0000 0.0000
Lu 0.2382 0.2382 0.2382
Lu 0.7618 0.7618 0.7618
V 0.5000 0.5000 0.5000

***

What is the stability order? It is <A>, <B>, from most stable to least stable.

***

<A>
Material: Y2ErLu
Method: DFT, PBE
State: optimized geometry

Total moment in Bohr magnetons per cell: 0.00
Space-group type: No. 123

Unit cell a=4.9913 b=4.9913 c=4.9880 alpha=90.00 beta=90.00 gamma=90.00
Element x y z (fractional)
Y 0.0000 0.5000 0.0000
Y 0.5000 0.0000 0.0000
Er 0.0000 0.0000 0.5000
Lu 0.5000 0.5000 0.5000

***

<B>
Material: Y2ErLu
Method: DFT, PBE
State: optimized geometry

Total moment in Bohr magnetons per cell: 0.00
Space-group type: No. 225

Unit cell a=5.6357 b=5.6357 c=5.6357 alpha=60.00 beta=60.00 gamma=60.00
Element x y z (fractional)
Y 0.2500 0.2500 0.2500
Y 0.7500 0.7500 0.7500
Er 0.0000 0.0000 0.0000
Lu 0.5000 0.5000 0.5000

***

<C>
Material: Y2ErLu
Method: DFT, PBE
State: optimized geometry

Total moment in Bohr magnetons per cell: 0.00
Space-group type: No. 166

Unit cell a=12.4794 b=12.4794 c=12.4794 alpha=15.95 beta=15.95 gamma=15.95
Element x y z (fractional)
Y 0.0897 0.0897 0.0897
Y 0.9103 0.9103 0.9103
Er 0.5000 0.5000 0.5000
Lu 0.0000 0.0000 0.0000

***

What is the stability order? It is <A>, <B>, <C>, from most stable to least stable.

***

<A>
Material: Er2LuZr
Method: DFT, PBE
State: optimized geometry

Total moment in Bohr magnetons per cell: 3.16
Space-group type: No. 225

Unit cell a=5.4408 b=5.4408 c=5.4408 alpha=60.00 beta=60.00 gamma=60.00
Element x y z (fractional)
Er 0.2500 0.2500 0.2500
Er 0.7500 0.7500 0.7500
Lu 0.0000 0.0000 0.0000
Zr 0.5000 0.5000 0.5000

***

<B>
Material: Er2LuZr
Method: DFT, PBE
State: optimized geometry

Total moment in Bohr magnetons per cell: 0.00
Space-group type: No. 166

Unit cell a=11.3391 b=11.3391 c=11.3391 alpha=17.26 beta=17.26 gamma=17.26
Element x y z (fractional)
Er 0.2458 0.2458 0.2458
Er 0.7542 0.7542 0.7542
Lu 0.0000 0.0000 0.0000
Zr 0.5000 0.5000 0.5000

***

<C>
Material: Er2LuZr
Method: DFT, PBE
State: optimized geometry

Total moment in Bohr magnetons per cell: 0.00
Space-group type: No. 123

Unit cell a=3.9862 b=3.9862 c=7.0701 alpha=90.00 beta=90.00 gamma=90.00
Element x y z (fractional)
Er 0.0000 0.0000 0.2305
Er 0.0000 0.0000 0.7695
Lu 0.5000 0.5000 0.5000
Zr 0.5000 0.5000 0.0000

***

What is the stability order? It is <B>, <C>, <A>, from most stable to least stable.

***

<A>
Material: ErLu2Zr
Method: DFT, PBE
State: optimized geometry

Total moment in Bohr magnetons per cell: 0.00
Space-group type: No. 123

Unit cell a=4.7893 b=4.7893 c=4.7905 alpha=90.00 beta=90.00 gamma=90.00
Element x y z (fractional)
Er 0.0000 0.0000 0.0000
Lu 0.0000 0.5000 0.5000
Lu 0.5000 0.0000 0.5000
Zr 0.5000 0.5000 0.0000

***

<B>
Material: ErLu2Zr
Method: DFT, PBE
State: optimized geometry

Total moment in Bohr magnetons per cell: 0.03
Space-group type: No. 123

Unit cell a=3.9431 b=3.9431 c=7.1807 alpha=90.00 beta=90.00 gamma=90.00
Element x y z (fractional)
Er 0.0000 0.0000 0.0000
Lu 0.5000 0.5000 0.2723
Lu 0.5000 0.5000 0.7277
Zr 0.0000 0.0000 0.5000

***

<C>
Material: ErLu2Zr
Method: DFT, PBE
State: optimized geometry

Total moment in Bohr magnetons per cell: 2.61
Space-group type: No. 225

Unit cell a=5.4078 b=5.4078 c=5.4078 alpha=60.00 beta=60.00 gamma=60.00
Element x y z (fractional)
Er 0.0000 0.0000 0.0000
Lu 0.2500 0.2500 0.2500
Lu 0.7500 0.7500 0.7500
Zr 0.5000 0.5000 0.5000

***

What is the stability order? It is <A>, <B>, <C>, from most stable to least stable.